i:
PBEsol LiCrGe2O6, optimized geometry; symmetry = C2/c (15)
1.0
5.080 -4.238 0.000
5.080 4.238 0.000
-1.997 0.000 5.108
Li Cr Ge O
2 2 4 12
Cartesian
3.582 2.368 3.831 Li
4.580 -2.368 1.277 Li
4.580 0.717 1.277 Cr
3.582 -0.717 3.831 Cr
0.640 0.813 3.886 Ge
1.638 -0.813 1.333 Ge
6.524 0.813 3.775 Ge
7.522 -0.813 1.221 Ge
0.548 0.280 2.189 O
3.036 1.813 1.409 O
-0.451 -0.280 4.742 O
2.343 0.788 4.388 O
6.124 1.813 1.145 O
3.342 -0.788 1.834 O
4.821 0.788 3.273 O
2.038 -1.813 3.963 O
5.819 -0.788 0.719 O
8.613 0.280 0.365 O
5.126 -1.813 3.698 O
7.614 -0.280 2.919 O


ii:
PBEsol LiCrGe2O6, optimized geometry; symmetry = P2_1/c (14)
1.0
9.543 0.000 0.000
0.000 8.670 0.000
-1.206 0.000 5.194
Li Cr Ge O
4 4 8 24
Cartesian
1.765 0.104 2.384 Li
1.162 4.231 4.981 Li
7.175 4.438 0.213 Li
6.572 8.566 2.810 Li
1.818 5.723 2.375 Cr
1.215 7.281 4.972 Cr
7.122 1.388 0.222 Cr
6.519 2.947 2.819 Cr
-0.484 1.370 4.303 Ge
0.119 2.965 1.706 Ge
4.072 1.343 1.154 Ge
3.468 2.991 3.751 Ge
4.868 5.678 1.443 Ge
4.265 7.326 4.040 Ge
8.218 5.705 3.488 Ge
8.821 7.300 0.891 Ge
0.884 1.595 0.861 O
0.281 2.740 3.458 O
0.974 4.393 1.252 O
0.371 8.612 3.849 O
0.422 5.785 3.835 O
1.025 7.219 1.237 O
3.170 5.771 0.931 O
2.567 7.233 3.528 O
3.055 1.780 2.543 O
2.452 2.554 5.140 O
2.905 4.592 3.449 O
3.508 8.412 0.852 O
4.829 0.257 4.342 O
5.432 4.078 1.745 O
5.885 6.115 0.055 O
5.282 6.889 2.652 O
5.770 1.436 1.666 O
5.167 2.898 4.263 O
7.312 1.450 3.957 O
7.915 2.884 1.360 O
7.966 0.058 1.345 O
7.362 4.277 3.942 O
8.056 5.930 1.736 O
7.453 7.074 4.333 O


Computed relative energies in units of eV/atom: i 0.009; ii 0.000


i:
PBEsol ScCrGe2, optimized geometry; symmetry = Fm-3m (225)
1.0
6.375 0.000 0.000
0.000 6.375 0.000
0.000 0.000 6.375
Sc Cr Ge
4 4 8
Cartesian
0.000 0.000 0.000 Sc
0.000 3.188 3.188 Sc
3.188 0.000 3.188 Sc
3.188 3.188 0.000 Sc
0.000 0.000 3.188 Cr
0.000 3.188 0.000 Cr
3.188 0.000 0.000 Cr
3.188 3.188 3.188 Cr
1.594 1.594 1.594 Ge
1.594 1.594 4.781 Ge
1.594 4.781 1.594 Ge
1.594 4.781 4.781 Ge
4.781 1.594 1.594 Ge
4.781 1.594 4.781 Ge
4.781 4.781 1.594 Ge
4.781 4.781 4.781 Ge


ii:
PBEsol ScCrGe2, optimized geometry; symmetry = Pbam (55)
1.0
9.211 0.000 0.000
0.000 9.886 0.000
0.000 0.000 8.103
Sc Cr Ge
12 12 24
Cartesian
1.524 1.787 0.000 Sc
1.562 4.477 1.980 Sc
1.562 4.477 6.123 Sc
3.043 9.421 1.980 Sc
3.043 9.421 6.123 Sc
3.082 6.730 0.000 Sc
6.129 3.156 0.000 Sc
6.168 0.466 1.980 Sc
6.168 0.466 6.123 Sc
7.648 5.409 1.980 Sc
7.648 5.409 6.123 Sc
7.687 8.100 0.000 Sc
0.000 0.000 1.991 Cr
0.000 0.000 6.112 Cr
0.712 7.484 2.021 Cr
0.712 7.484 6.082 Cr
3.893 2.540 2.021 Cr
3.893 2.540 6.082 Cr
4.605 4.943 1.991 Cr
4.605 4.943 6.112 Cr
5.317 7.346 2.021 Cr
5.317 7.346 6.082 Cr
8.499 2.403 2.021 Cr
8.499 2.403 6.082 Cr
0.346 6.195 4.051 Ge
0.391 6.152 0.000 Ge
1.118 8.959 4.051 Ge
1.193 8.897 0.000 Ge
1.604 1.802 2.740 Ge
1.604 1.802 5.363 Ge
3.001 6.746 2.740 Ge
3.001 6.746 5.363 Ge
3.413 3.954 0.000 Ge
3.487 4.016 4.051 Ge
4.214 1.208 0.000 Ge
4.259 1.252 4.051 Ge
4.951 8.635 4.051 Ge
4.997 8.678 0.000 Ge
5.724 5.871 4.051 Ge
5.798 5.933 0.000 Ge
6.209 3.141 2.740 Ge
6.209 3.141 5.363 Ge
7.606 8.084 2.740 Ge
7.606 8.084 5.363 Ge
8.018 0.989 0.000 Ge
8.092 0.927 4.051 Ge
8.819 3.735 0.000 Ge
8.865 3.692 4.051 Ge


Computed relative energies in units of eV/atom: i 0.395; ii 0.000


i:
PBEsol CrHIN2, optimized geometry; symmetry = P4/mmm (123)
1.0
4.035 0.000 0.000
0.000 4.035 0.000
0.000 0.000 3.405
Cr H I N
1 1 1 2
Cartesian
0.000 0.000 0.000 Cr
2.018 2.018 1.702 H
2.018 2.018 0.000 I
0.000 2.018 1.702 N
2.018 0.000 1.702 N


ii:
PBEsol CrHIN2, optimized geometry; symmetry = P4/mmm (123)
1.0
3.560 0.000 0.000
0.000 3.560 0.000
0.000 0.000 5.522
Cr H I N
1 1 1 2
Cartesian
0.000 0.000 0.000 Cr
1.780 1.780 2.761 H
0.000 0.000 2.761 I
0.000 1.780 0.000 N
1.780 0.000 0.000 N


Computed relative energies in units of eV/atom: i 1.269; ii 0.000


i:
PBEsol Li2Cr2H4O9, optimized geometry; symmetry = Cc (9)
1.0
6.258 -3.748 0.000
6.258 3.748 0.000
-0.550 0.000 9.473
Li Cr H O
4 4 8 18
Cartesian
5.983 3.260 4.736 Li
2.092 0.738 8.516 Li
2.367 -0.738 3.780 Li
6.258 -3.260 0.000 Li
5.419 1.239 8.802 Cr
7.940 1.860 6.864 Cr
5.694 -1.239 4.065 Cr
8.215 -1.860 2.128 Cr
3.674 2.157 4.458 H
6.694 2.356 2.126 H
6.622 1.492 3.473 H
3.399 -2.157 9.195 H
6.347 -1.492 8.209 H
10.079 0.433 0.806 H
6.419 -2.356 6.862 H
9.804 -0.433 5.543 H
1.905 0.884 0.847 O
2.702 1.163 3.383 O
3.853 1.427 8.488 O
6.436 2.306 0.478 O
6.876 2.389 3.113 O
1.630 -0.884 5.583 O
6.279 1.579 7.318 O
2.427 -1.163 8.119 O
6.032 0.271 4.504 O
4.128 -1.427 3.751 O
5.757 -0.271 9.240 O
8.690 0.491 6.518 O
10.729 0.941 0.258 O
6.554 -1.579 2.581 O
8.965 -0.491 1.782 O
6.161 -2.306 5.215 O
6.601 -2.389 7.849 O
10.454 -0.941 4.994 O


ii:
PBEsol Li2Cr2H4O9, optimized geometry; symmetry = C2/c (15)
1.0
3.700 -3.819 0.000
3.700 3.819 0.000
-1.373 0.000 12.634
Li Cr H O
4 4 8 18
Cartesian
1.163 1.909 6.317 Li
2.670 2.022 9.476 Li
1.850 -1.909 0.000 Li
3.356 -2.022 3.159 Li
2.560 2.788 1.770 Cr
4.153 2.788 4.547 Cr
1.874 -2.788 8.087 Cr
3.466 -2.788 10.864 Cr
1.571 0.065 8.195 H
2.257 -0.065 1.878 H
2.394 0.518 11.343 H
2.946 0.518 7.608 H
3.080 -0.518 5.026 H
3.633 -0.518 1.291 H
3.769 0.065 10.756 H
4.456 -0.065 4.439 H
3.356 3.556 3.159 O
1.669 1.525 2.270 O
3.037 2.312 5.591 O
3.676 2.312 0.726 O
1.421 0.078 5.222 O
0.734 -0.078 11.539 O
2.089 0.886 7.960 O
0.982 -1.525 8.587 O
3.250 0.886 10.991 O
2.776 -0.886 1.643 O
5.044 1.525 4.047 O
3.937 -0.886 4.674 O
5.292 0.078 1.095 O
4.605 -0.078 7.412 O
2.351 -2.312 11.908 O
2.989 -2.312 7.043 O
4.357 -1.525 10.364 O
2.670 -3.556 9.476 O


Computed relative energies in units of eV/atom: i 0.023; ii 0.000


i:
PBEsol NaCrH3, optimized geometry; symmetry = Pm-3m (221)
1.0
3.671 0.000 0.000
0.000 3.671 0.000
0.000 0.000 3.671
Na Cr H
1 1 3
Cartesian
0.000 0.000 0.000 Na
1.836 1.836 1.836 Cr
0.000 0.000 1.836 H
0.000 1.836 0.000 H
1.836 0.000 0.000 H


ii:
PBEsol NaCrH3, optimized geometry; symmetry = Pm-3m (221)
1.0
3.579 0.000 0.000
0.000 3.579 0.000
0.000 0.000 3.579
Na Cr H
1 1 3
Cartesian
0.000 0.000 0.000 Na
1.790 1.790 1.790 Cr
0.000 1.790 1.790 H
1.790 0.000 1.790 H
1.790 1.790 0.000 H


Computed relative energies in units of eV/atom: i 0.848; ii 0.000


i:
PBEsol HfCr3Si, optimized geometry; symmetry = Pm-3m (221)
1.0
4.285 0.000 0.000
0.000 4.285 0.000
0.000 0.000 4.285
Hf Cr Si
1 3 1
Cartesian
0.000 0.000 0.000 Hf
0.000 2.143 2.143 Cr
2.143 0.000 2.143 Cr
2.143 2.143 0.000 Cr
2.143 2.143 2.143 Si


ii:
PBEsol HfCr3Si, optimized geometry; symmetry = Pm-3m (221)
1.0
4.588 0.000 0.000
0.000 4.588 0.000
0.000 0.000 4.588
Hf Cr Si
1 3 1
Cartesian
0.000 0.000 0.000 Hf
0.000 0.000 2.294 Cr
0.000 2.294 0.000 Cr
2.294 0.000 0.000 Cr
2.294 2.294 2.294 Si


Computed relative energies in units of eV/atom: i 0.000; ii 1.340


i:
PBEsol Cr2Hg, optimized geometry; symmetry = Cm (8)
1.0
10.353 0.000 0.000
0.000 2.948 0.000
-1.177 0.000 6.015
Cr Hg
8 4
Cartesian
0.000 0.000 0.000 Cr
-0.027 0.000 4.092 Cr
1.623 1.474 3.058 Cr
2.814 0.000 4.569 Cr
5.177 1.474 0.000 Cr
5.150 1.474 4.092 Cr
6.799 0.000 3.058 Cr
7.991 1.474 4.569 Cr
2.270 1.474 0.235 Hg
4.048 0.000 2.089 Hg
7.447 0.000 0.235 Hg
9.225 1.474 2.089 Hg


ii:
PBEsol Cr2Hg, optimized geometry; symmetry = P6/mmm (191)
1.0
4.202 0.000 0.000
-2.101 3.639 0.000
0.000 0.000 2.751
Cr Hg
2 1
Cartesian
0.000 2.426 0.000 Cr
2.101 1.213 0.000 Cr
0.000 0.000 1.375 Hg


Computed relative energies in units of eV/atom: i 0.000; ii 0.113


i:
PBEsol MgCr2Hg, optimized geometry; symmetry = Fm-3m (225)
1.0
6.503 0.000 0.000
0.000 6.503 0.000
0.000 0.000 6.503
Mg Cr Hg
4 8 4
Cartesian
0.000 0.000 0.000 Mg
0.000 3.252 3.252 Mg
3.252 0.000 3.252 Mg
3.252 3.252 0.000 Mg
1.626 1.626 1.626 Cr
1.626 1.626 4.877 Cr
1.626 4.877 1.626 Cr
1.626 4.877 4.877 Cr
4.877 1.626 1.626 Cr
4.877 1.626 4.877 Cr
4.877 4.877 1.626 Cr
4.877 4.877 4.877 Cr
0.000 0.000 3.252 Hg
0.000 3.252 0.000 Hg
3.252 0.000 0.000 Hg
3.252 3.252 3.252 Hg


ii:
PBEsol MgCr2Hg, optimized geometry; symmetry = C2/m (12)
1.0
5.149 0.000 0.000
0.000 8.925 0.000
-0.621 0.000 2.594
Mg Cr Hg
2 4 2
Cartesian
0.000 0.000 0.000 Mg
2.575 4.462 0.000 Mg
0.977 2.231 1.297 Cr
0.977 6.694 1.297 Cr
3.551 2.231 1.297 Cr
3.551 6.694 1.297 Cr
0.000 4.462 0.000 Hg
2.575 0.000 0.000 Hg


Computed relative energies in units of eV/atom: i 0.000; ii 0.105